1.
Density functional theory data (GGA-PBE) for a relaxed structure of Nb2Bi3Pb2ClO11.

Structure (CIF):
```
data_Nb2Bi3Pb2ClO11
_cell_length_a 3.943
_cell_length_b 3.943
_cell_length_c 19.942
_cell_angle_alpha 90.00
_cell_angle_beta 90.00
_cell_angle_gamma 90.00
_space_group_name_H-M_alt 'P 4/m m m'
_space_group_IT_number 123
_space_group_name_Hall '-P 4 2'
loop_
_atom_site_label
_atom_site_fract_x
_atom_site_fract_y
_atom_site_fract_z
Nb1 0.000 0.000 0.114
Bi1 0.000 0.000 0.400
Bi2 0.500 0.500 0.000
Pb1 0.500 0.500 0.273
Cl1 0.500 0.500 0.500
O1 0.000 0.000 0.000
O2 0.000 0.000 0.205
O3 0.000 0.500 0.093
O4 0.000 0.500 0.344
```

2.
Density functional theory data (GGA-PBE) for a relaxed structure of TlCuTe2.

Properties
The calculation puts the density of states at the Fermi level at 3.344 states/eV/cell.

Structure (CIF):
```
data_TlCuTe2
_cell_length_a 3.761
_cell_length_b 5.808
_cell_length_c 10.002
_cell_angle_alpha 90.00
_cell_angle_beta 90.00
_cell_angle_gamma 90.00
_space_group_name_H-M_alt 'I m m 2'
_space_group_IT_number 44
loop_
_space_group_symop_operation_xyz
'x,y,z'
'-x,-y,z'
'-x,y,z'
'x,-y,z'
'x+1/2,y+1/2,z+1/2'
'-x+1/2,-y+1/2,z+1/2'
'-x+1/2,y+1/2,z+1/2'
'x+1/2,-y+1/2,z+1/2'
loop_
_atom_site_label
_atom_site_fract_x
_atom_site_fract_y
_atom_site_fract_z
Tl1 0.000 0.000 0.000
Cu1 0.000 0.500 0.766
Te1 0.000 0.000 0.444
Te2 0.000 0.500 0.200
```

3.
Density functional theory data (GGA-PBE) for a relaxed structure of Sr2PmIrO6.

Properties
The calculation puts the density of states at the Fermi level at 6.426 states/eV/cell.

Structure (CIF):
```
data_Sr2PmIrO6
_cell_length_a 5.877
_cell_length_b 5.973
_cell_length_c 10.167
_cell_angle_alpha 90.00
_cell_angle_beta 124.69
_cell_angle_gamma 90.00
_space_group_name_H-M_alt 'P 1 21/c 1'
_space_group_IT_number 14
loop_
_space_group_symop_operation_xyz
'x,y,z'
'-x,-y,-z'
'-x,y+1/2,-z+1/2'
'x,-y+1/2,z+1/2'
loop_
_atom_site_label
_atom_site_fract_x
_atom_site_fract_y
_atom_site_fract_z
Sr1 0.238 0.042 0.249
Pm1 0.500 0.000 0.000
Ir1 0.000 0.000 0.500
O1 0.143 0.229 0.954
O2 0.228 0.694 0.958
O3 0.313 0.025 0.730
```

4.
Density functional theory data (GGA-PBE) for a relaxed structure of Na2LaCuCl.

Properties
The calculation puts the density of states at the Fermi level at 4.401 states/eV/cell.

Structure (CIF):
```
data_Na2LaCuCl
_cell_length_a 5.286
_cell_length_b 5.286
_cell_length_c 5.493
_cell_angle_alpha 90.00
_cell_angle_beta 90.00
_cell_angle_gamma 90.00
_space_group_name_H-M_alt 'P 4/m m m'
_space_group_IT_number 123
_space_group_name_Hall '-P 4 2'
loop_
_atom_site_label
_atom_site_fract_x
_atom_site_fract_y
_atom_site_fract_z
Na1 0.000 0.500 0.000
La1 0.000 0.000 0.500
Cu1 0.000 0.000 0.000
Cl1 0.500 0.500 0.500
```

| no. | ΔE_f (raw) (eV per atom) | calculated volume (Å³ per atom) | total energy (eV/atom) |
| --- | --- | --- | --- |
| 1 | -1.704 | 16.32 | -6.735 |
| 2 | 0.212 | 27.31 | -2.974 |
| 3 | -2.295 | 14.67 | -6.967 |
| 4 | -0.164 | 30.70 | -2.865 |